# 1
Here is a relaxed structure of Tb4Pm10Dy from Alexandria via LeMat-Bulk. Energies are from PBE.

The total magnetization comes out at 0.0 μB/cell. The calculation puts the volume at 1183 Å³ per cell. The total energy comes out at -4.003 eV per atom. The formation energy is 0.705 eV/atom.

The structure belongs to space group I4/m (No. 87); the cell edges are 12.3268, 12.3268 and 7.7838 Å and the angles 90.00°, 90.00° and 90.00°. The inequivalent atoms are Tb at (0.1004, 0.2994, 0.0000), Pm at (0.0000, 0.5000, 0.2500), Pm at (0.0995, 0.7999, 0.2504) and Dy at (0.0000, 0.0000, 0.5000).

---

# 2
Here is a relaxed structure of Tb3Pm2Dy5 from Alexandria via LeMat-Bulk. Energies are from PBE.

The total magnetization comes out at 0.0 μB/cell. The calculation puts the relative energy among the computed polymorphs at 0 meV per atom. The calculation puts the volume at 652 Å³ per cell. The total energy comes out at -4.583 eV per atom. The formation energy is 0.057 eV/atom.

The structure belongs to space group P-1 (No. 2); the cell edges are 6.7828, 9.3690 and 11.4734 Å and the angles 109.74°, 104.94° and 94.64°. The inequivalent atoms are Tb at (0.1127, 0.4281, 0.3550), Tb at (0.2732, 0.8524, 0.9459), Tb at (0.3726, 0.0744, 0.7533), Pm at (0.1381, 0.0333, 0.2481), Pm at (0.4077, 0.6747, 0.6691), Dy at (0.0558, 0.8162, 0.4484), Dy at (0.1803, 0.6361, 0.1403), Dy at (0.2262, 0.2461, 0.0393), Dy at (0.3204, 0.4610, 0.8447) and Dy at (0.4563, 0.2582, 0.5614).

---

# 3
Here is a relaxed structure of Tb4Pm6Dy from Alexandria via LeMat-Bulk. Energies are from PBE.

The total magnetization comes out at 0.0 μB/cell. The calculation puts the relative energy among the computed polymorphs at 83 meV per atom. The calculation puts the volume at 773 Å³ per cell. The total energy comes out at -4.320 eV per atom. The formation energy is 0.373 eV/atom.

The structure belongs to space group I-42m (No. 121); the cell edges are 7.5379, 7.5379 and 13.6104 Å and the angles 90.00°, 90.00° and 90.00°. The inequivalent atoms are Tb at (0.1667, 0.1667, 0.4197), Pm at (0.0000, 0.5000, 0.0000), Pm at (0.2268, 0.2268, 0.1876) and Dy at (0.0000, 0.0000, 0.0000).

---

# 4
Here is a relaxed structure of TbPm3Dy3 from Alexandria via LeMat-Bulk. Energies are from PBE.

The total magnetization comes out at 0.0 μB/cell. The calculation puts the relative energy among the computed polymorphs at 0 meV per atom. The calculation puts the volume at 463 Å³ per cell. The total energy comes out at -4.650 eV per atom. The formation energy is 0.019 eV/atom.

The structure belongs to space group P6_3/m (No. 176); the cell edges are 9.6406, 9.6406 and 5.7547 Å and the angles 90.00°, 90.00° and 120.00°. The inequivalent atoms are Tb at (0.3333, 0.6667, 0.2500), Pm at (0.0488, 0.8073, 0.2500) and Dy at (0.0950, 0.6171, 0.7500).

---

# 5
Here is a relaxed structure of TbPm5Dy from Alexandria via LeMat-Bulk. Energies are from PBE.

The total magnetization comes out at 0.0 μB/cell. The calculation puts the relative energy among the computed polymorphs at 833 meV per atom. The calculation puts the volume at 624 Å³ per cell. The total energy comes out at -3.708 eV per atom. The formation energy is 1.004 eV/atom.

The structure belongs to space group Immm (No. 71); the cell edges are 5.8805, 8.7832 and 12.0791 Å and the angles 90.00°, 90.00° and 90.00°. The inequivalent atoms are Tb at (0.0000, 0.0000, 0.0000), Pm at (0.0000, 0.0000, 0.2519), Pm at (0.0000, 0.3225, 0.5000), Pm at (0.0000, 0.5000, 0.0000) and Dy at (0.0000, 0.0000, 0.5000).

---

# 6
Here is a relaxed structure of Tb2Pm12Dy5 from Alexandria via LeMat-Bulk. Energies are from PBE.

The total magnetization comes out at 0.0 μB/cell. The calculation puts the relative energy among the computed polymorphs at 0 meV per atom. The calculation puts the volume at 1274 Å³ per cell. The total energy comes out at -4.599 eV per atom. The formation energy is 0.100 eV/atom.

The structure belongs to space group C2/m (No. 12); the cell edges are 17.9146, 11.7095 and 6.2226 Å and the angles 90.00°, 102.65° and 90.00°. The inequivalent atoms are Tb at (0.0000, 0.2283, 0.0000), Pm at (0.0552, 0.5000, 0.2737), Pm at (0.1036, 0.2498, 0.6163), Pm at (0.1212, 0.0000, 0.9986), Pm at (0.1973, 0.2574, 0.1991), Dy at (0.0000, 0.0000, 0.5000), Dy at (0.1771, 0.5000, 0.8593) and Dy at (0.2151, 0.0000, 0.5511).

---

# 7
Here is a relaxed structure of TbPm7Dy2 from Alexandria via LeMat-Bulk. Energies are from PBE.

The total magnetization comes out at 0.0 μB/cell. The calculation puts the relative energy among the computed polymorphs at 262 meV per atom. The calculation puts the volume at 818 Å³ per cell. The total energy comes out at -4.058 eV per atom. The formation energy is 0.651 eV/atom.

The structure belongs to space group Cmmm (No. 65); the cell edges are 8.7994, 16.6058 and 5.5995 Å and the angles 90.00°, 90.00° and 90.00°. The inequivalent atoms are Tb at (0.0000, 0.0000, 0.0000), Pm at (0.0000, 0.2147, 0.0000), Pm at (0.0000, 0.5000, 0.5000), Pm at (0.1786, 0.1125, 0.5000) and Dy at (0.0000, 0.2951, 0.5000).

---

# 8
Here is a relaxed structure of TbPm10Dy6 from Alexandria via LeMat-Bulk. Energies are from PBE.

The total magnetization comes out at 0.0 μB/cell. The calculation puts the volume at 574 Å³ per cell. The total energy comes out at -4.565 eV per atom. The formation energy is 0.126 eV/atom.

The structure belongs to space group P-31m (No. 162); the cell edges are 9.8043, 9.8043 and 6.8913 Å and the angles 90.00°, 90.00° and 120.00°. The inequivalent atoms are Tb at (0.0000, 0.0000, 0.0000), Pm at (0.0000, 0.2741, 0.3149), Pm at (0.3333, 0.6667, 0.0000), Pm at (0.3333, 0.6667, 0.5000) and Dy at (0.0000, 0.3728, 0.8056).

---

total magnetization of number 1 (Tb4Pm10Dy)?
0.0 μB/cell